No. 1
## RbHoSnI6 (PBE-GGA)

Data for RbHoSnI6 after structural relaxation.

mass density = 4.1 Mg/m³

Cell lengths 8.0918, 14.0037, 8.0605 Å; angles 90.00, 90.06, 90.00 degrees
Last column: nearest neighbours and their distance in Å.
Space group C2 (No. 5)
Symmetry-distinct sites (fractional):
1 Rb 0.0000 0.0000 0.0000 [2 per cell]  6 I 3.75
2 Ho 0.0000 0.3333 0.5000 [2 per cell]  6 I 3.04
3 Sn 0.0000 0.6667 0.5000 [2 per cell]  6 I 3.20
4 I 0.1300 0.4922 0.7205 [4 per cell]  1 Ho 3.04, 1 Sn 3.20
5 I 0.1737 0.1889 0.7205 [4 per cell]  1 Ho 3.04, 1 Sn 3.20
6 I 0.1973 0.8188 0.7208 [4 per cell]  1 Ho 3.04, 1 Sn 3.20

No. 2
## RbHoSn2I8 (PBE-GGA)

Data for RbHoSn2I8 after structural relaxation.

mass density = 4.5 Mg/m³

Cell lengths 7.3248, 7.7958, 9.7389 Å; angles 89.88, 89.85, 88.66 degrees
Last column: nearest neighbours and their distance in Å.
Space group P-1 (No. 2)
Symmetry-distinct sites (fractional):
1 Rb 0.0000 0.0000 0.0000 [1 per cell]  6 I 3.53-3.58
2 Ho 0.0000 0.0000 0.5000 [1 per cell]  6 I 3.03-3.09
3 Sn 0.4995 0.4999 0.2510 [2 per cell]  6 I 3.13-3.42
4 I 0.2355 0.3234 0.5000 [2 per cell]  1 Ho 3.09, 2 Sn 3.41-3.42
5 I 0.2511 0.8439 0.7151 [2 per cell]  1 Ho 3.03, 1 Sn 3.22
6 I 0.2521 0.8449 0.2845 [2 per cell]  1 Ho 3.03, 1 Sn 3.22
7 I 0.2702 0.3775 0.0009 [2 per cell]  2 Sn 3.13

No. 3
## Rb2HoTlI6 (PBE-GGA)

Data for Rb2HoTlI6 after structural relaxation.

mass density = 4.3 Mg/m³

Cell lengths 8.8799, 8.8799, 22.1179 Å; angles 90.00, 90.00, 120.00 degrees
Last column: nearest neighbours and their distance in Å.
Space group R3 (No. 146, hexagonal axes)
Symmetry-distinct sites (fractional):
1 Rb 0.0000 0.0000 0.0000 [3 per cell]  6 I 3.69-3.85
2 Rb 0.0000 0.0000 0.4904 [3 per cell]  6 I 3.73-3.83
3 Ho 0.0000 0.0000 0.7062 [3 per cell]  6 I 3.03-3.05
4 Tl 0.0000 0.0000 0.2120 [3 per cell]  6 I 3.45-3.58
5 I 0.0241 0.4184 0.4490 [9 per cell]  1 Ho 3.03
6 I 0.0852 0.7148 0.2905 [9 per cell]  1 Ho 3.05

No. 4
## RbHoTl2I6 (PBE-GGA)

Data for RbHoTl2I6 after structural relaxation.

mass density = 4.7 Mg/m³

Cell lengths 8.6919, 8.6919, 22.9144 Å; angles 90.00, 90.00, 120.00 degrees
Last column: nearest neighbours and their distance in Å.
Space group R3 (No. 146, hexagonal axes)
Symmetry-distinct sites (fractional):
1 Rb 0.0000 0.0000 0.0000 [3 per cell]  6 I 3.63-3.79
2 Ho 0.0000 0.0000 0.4898 [3 per cell]  6 I 3.03-3.06
3 Tl 0.0000 0.0000 0.2942 [3 per cell]  6 I 3.54-3.59
4 Tl 0.0000 0.0000 0.8068 [3 per cell]  6 I 3.48-3.59
5 I 0.0058 0.7260 0.4077 [9 per cell]  1 Ho 3.06
6 I 0.0265 0.3028 0.5629 [9 per cell]  1 Ho 3.03

Number 1: formation energy from raw total energies -1131 meV per atom. Number 2: formation energy from raw total energies -912 meV per atom. Number 3: formation energy from raw total energies -1292 meV per atom. Number 4: formation energy from raw total energies -1119 meV per atom.